DFT (PBEsol) results for a relaxed CaY2Rh crystal.

Calculated values
- relative energy among the computed polymorphs (meV/atom) = 0
- energy of formation (kcal/mol of atoms) = -7.77

Structure (CIF):
```
data_CaY2Rh
_symmetry_space_group_name_H-M 'I m m m'
_symmetry_Int_Tables_number 71
_symmetry_space_group_name_Hall '-I 2 2'
_cell_length_a 3.6596
_cell_length_b 5.5381
_cell_length_c 10.3560
_cell_angle_alpha 90.00
_cell_angle_beta 90.00
_cell_angle_gamma 90.00
loop_
_atom_site_label
_atom_site_fract_x
_atom_site_fract_y
_atom_site_fract_z
Ca1 0.0000 0.0000 0.0000
Y1 0.0000 0.5000 0.1917
Rh1 0.0000 0.0000 0.5000
```